[1]
Below is SrHf4U2 after structural relaxation, with properties calculated at the GGA-PBE level.

Lattice parameters (Å, degrees): 7.5036 7.5036 3.1194 90.00 90.00 90.00
With the nearest neighbours (Å) after each atom.
Atoms (fractional coordinates):
Hf  0.3136  0.3136  0.3743  4 Hf 2.90-3.12, 2 U 2.98
Hf  0.6864  0.6864  0.3743  4 Hf 2.90-3.12, 2 U 2.98
Hf  0.6864  0.3136  0.6257  4 Hf 2.90-3.12, 2 U 2.98
Hf  0.3136  0.6864  0.6257  4 Hf 2.90-3.12, 2 U 2.98
Sr  0.0000  0.0000  0.0000  2 Sr 3.12
U  0.5000  0.0000  0.0000  4 Hf 2.98, 2 U 3.12
U  0.0000  0.5000  0.0000  4 Hf 2.98, 2 U 3.12

Properties
crystal system	tetragonal

=====

[2]
Below is SrHfU after structural relaxation, with properties calculated at the GGA-PBE level.

Lattice parameters (Å, degrees): 5.2603 5.2603 5.2603 60.00 60.00 60.00
With the nearest neighbours (Å) after each atom.
Atoms (fractional coordinates):
Hf  0.0000  0.0000  0.0000  4 U 3.22, 4 Sr 3.22
Sr  0.2500  0.2500  0.2500  4 Hf 3.22
U  0.7500  0.7500  0.7500  4 Hf 3.22

Properties
crystal system	cubic

=====

[3]
Below is SrHfW2 after structural relaxation, with properties calculated at the GGA-PBE level.

Lattice parameters (Å, degrees): 4.8602 4.8602 4.8602 60.00 60.00 60.00
With the nearest neighbours (Å) after each atom.
Atoms (fractional coordinates):
Hf  0.5000  0.5000  0.5000  4 W 2.98, 4 Sr 2.98
Sr  0.7500  0.7500  0.7500  4 Hf 2.98, 4 W 2.98
W  0.0000  0.0000  0.0000  4 W 2.98, 4 Sr 2.98
W  0.2500  0.2500  0.2500  4 W 2.98, 4 Hf 2.98

Properties
crystal system	cubic

=====

Number 1: final energy -60.6 eV for the cell shown, magnetization 3.3 μB/f.u.. Number 2: final energy -18.2 eV for the cell shown, magnetization 3.3 μB/f.u.. Number 3: final energy -33.4 eV for the cell shown, magnetization 0.0 μB/f.u..